Crystalline Li5Mn2CoO8 at its relaxed geometry. Source: Alexandria, functional GGA+U.

a = 2.9049 Å, b = 5.1799 Å, c = 9.7759 Å
α = 80.41°, β = 90.00°, γ = 90.00°
Closest atoms and distances in Å follow each position.
Fractional coordinates of all 16 atoms:
O1 0.0000 0.6572 0.1311  3 Mn 2.00
O2 0.5000 0.8749 0.8950  2 Mn 1.93, 1 Li 2.07
O3 0.0000 0.3260 0.8837  1 Mn 1.88, 2 Li 2.04
O4 0.0000 0.1279 0.6320  4 Li 1.98-2.11, 2 Co 1.98
O5 0.5000 0.6119 0.6365  1 Co 1.78, 2 Li 1.98
O6 0.0000 0.8722 0.3561  2 Mn 1.93, 1 Li 2.05
O7 0.5000 0.4202 0.3575  1 Mn 1.80, 2 Li 1.96
O8 0.5000 0.0968 0.1147  3 Mn 1.97-2.10, 1 Li 2.17
Mn1 0.0000 0.9959 0.9980  6 O 1.88-2.00
Mn2 0.5000 0.7450 0.2565  5 O 1.80-2.00
Li1 0.0000 0.2589 0.2664  3 O 1.96-2.05
Li2 0.0000 0.4924 0.4988  6 O 2.08-2.21
Li3 0.5000 0.9840 0.5196  3 O 2.04-2.07
Li4 0.5000 0.4862 0.9907  6 O 2.04-2.28
Li5 0.0000 0.7658 0.7353  3 O 1.98
Co1 0.5000 0.2849 0.7282  3 O 1.78-1.98

Output
- Distance to the lowest polymorph of the same formula: 43 meV per atom
- E: -5.981 eV per atom